# 1
Material: NaNd2Cd6
Method: DFT, GGA-PBE
State: relaxed

Output
ρ: 7.01 Mg/m³
Symmetry: P-3m1
Total DFT energy (no corrections): -1.97 eV/atom
Crystal system: trigonal
Fermi-level density of states: 8.70 states/eV/cell

a b c (Å): 6.4657 6.4569 6.4569
angles (deg): 60.01 90.01 90.01
Closest atoms and distances in Å follow each position.
Sites, in units of the cell vectors:
Cd  0.3312  0.8209  0.8209  1 Na 2.93, 4 Cd 2.96-2.99
Cd  0.6688  0.1791  0.1791  1 Na 2.93, 4 Cd 2.96-2.99
Cd  0.6684  0.1795  0.6421  1 Na 2.93, 4 Cd 2.95-2.99
Cd  0.3316  0.8205  0.3579  1 Na 2.93, 4 Cd 2.95-2.99
Cd  0.3316  0.3579  0.8205  1 Na 2.93, 4 Cd 2.95-2.99
Cd  0.6684  0.6421  0.1795  1 Na 2.93, 4 Cd 2.95-2.99
Nd  0.1402  0.3330  0.3330  12 Cd 3.46-3.83, 3 Na 3.83-3.84
Nd  0.8598  0.6670  0.6670  12 Cd 3.46-3.83, 3 Na 3.83-3.84
Na  0.0000  0.0000  0.0000  6 Cd 2.93



# 2
Material: NaNdCd2
Method: DFT, GGA-PBE
State: relaxed

Output
ρ: 6.10 Mg/m³
Symmetry: Fm-3m
Total DFT energy (no corrections): -2.17 eV/atom
Crystal system: cubic
Fermi-level density of states: 3.00 states/eV/cell

a b c (Å): 5.3242 5.3242 5.3242
angles (deg): 60.00 60.00 60.00
Closest atoms and distances in Å follow each position.
Sites, in units of the cell vectors:
Cd  0.2500  0.2500  0.2500  4 Na 3.26, 4 Nd 3.26
Cd  0.7500  0.7500  0.7500  4 Na 3.26, 4 Nd 3.26
Na  0.5000  0.5000  0.5000  8 Cd 3.26
Nd  0.0000  0.0000  0.0000  8 Cd 3.26



# 3
Material: NaNd2Cd6
Method: DFT, GGA-PBE
State: relaxed

Output
ρ: 7.09 Mg/m³
Symmetry: P6/mmm
Total DFT energy (no corrections): -2.08 eV/atom
Crystal system: hexagonal
Fermi-level density of states: 5.81 states/eV/cell

a b c (Å): 3.4161 8.8350 8.8350
angles (deg): 60.03 89.99 89.99
Closest atoms and distances in Å follow each position.
Sites, in units of the cell vectors:
Cd  0.5000  0.6692  0.3308  3 Cd 2.92-2.99
Cd  0.5014  0.0001  0.3307  3 Cd 2.92-2.99
Cd  0.4986  0.6693  0.9999  3 Cd 2.92-2.99
Cd  0.5014  0.3307  0.0001  3 Cd 2.92-2.99
Cd  0.5000  0.3308  0.6692  3 Cd 2.92-2.99
Cd  0.4986  0.9999  0.6693  3 Cd 2.92-2.99
Na  0.0000  0.0000  0.0000  12 Cd 3.38-3.39, 2 Na 3.42
Nd  0.0000  0.6667  0.6667  12 Cd 3.41-3.42, 2 Nd 3.42
Nd  0.0000  0.3333  0.3333  12 Cd 3.41-3.42, 2 Nd 3.42



# 4
Material: NaNdCd4
Method: DFT, GGA-PBE
State: relaxed

Output
ρ: 6.75 Mg/m³
Symmetry: F-43m
Total DFT energy (no corrections): -1.80 eV/atom
Crystal system: cubic
Fermi-level density of states: 5.36 states/eV/cell

a b c (Å): 5.9858 5.9858 5.9858
angles (deg): 60.00 60.00 60.00
Closest atoms and distances in Å follow each position.
Sites, in units of the cell vectors:
Cd  0.6251  0.1247  0.6251  6 Cd 2.99-3.00
Cd  0.1247  0.6251  0.6251  6 Cd 2.99-3.00
Cd  0.6251  0.6251  0.6251  6 Cd 2.99-3.00
Cd  0.6251  0.6251  0.1247  6 Cd 2.99-3.00
Nd  0.0000  0.0000  0.0000  12 Cd 3.51, 4 Na 3.67
Na  0.2500  0.2500  0.2500  12 Cd 3.51, 4 Nd 3.67



# 5
Material: NaNdCd3
Method: DFT, GGA-PBE
State: relaxed

Output
ρ: 6.04 Mg/m³
Symmetry: C2/m
Total DFT energy (no corrections): -1.80 eV/atom
Crystal system: monoclinic
Fermi-level density of states: 6.63 states/eV/cell

a b c (Å): 5.3089 5.5739 10.1213
angles (deg): 105.98 104.96 90.00
Closest atoms and distances in Å follow each position.
Sites, in units of the cell vectors:
Cd  0.7793  0.0298  0.0595  3 Na 2.88-3.20, 2 Cd 2.88, 2 Nd 3.13
Cd  0.0414  0.7905  0.5810  5 Cd 3.09-3.37, 2 Na 3.10, 2 Nd 3.40
Cd  0.4589  0.7060  0.4119  4 Cd 3.09-3.24, 3 Na 3.18-3.19, 2 Nd 3.25
Cd  0.9586  0.2095  0.4190  5 Cd 3.09-3.37, 2 Na 3.10, 2 Nd 3.40
Cd  0.5411  0.2940  0.5881  4 Cd 3.09-3.24, 3 Na 3.18-3.19, 2 Nd 3.25
Cd  0.2207  0.9702  0.9405  3 Na 2.88-3.20, 2 Cd 2.88, 2 Nd 3.13
Na  0.6258  0.8763  0.7525  8 Cd 2.88-3.20
Na  0.3742  0.1237  0.2475  8 Cd 2.88-3.20
Nd  0.8596  0.6059  0.2117  7 Cd 3.13-3.46
Nd  0.1404  0.3941  0.7883  7 Cd 3.13-3.46



# 6
Material: Na2NdCd
Method: DFT, GGA-PBE
State: relaxed

Output
ρ: 4.01 Mg/m³
Symmetry: R-3m
Total DFT energy (no corrections): -1.94 eV/atom
Crystal system: trigonal
Fermi-level density of states: 3.65 states/eV/cell

a b c (Å): 3.4414 3.4414 12.3926
angles (deg): 82.02 82.02 60.00
Closest atoms and distances in Å follow each position.
Sites, in units of the cell vectors:
Na  0.9064  0.9064  0.2807  3 Cd 3.34, 1 Nd 3.43, 6 Na 3.44
Na  0.0936  0.0936  0.7193  3 Cd 3.34, 1 Nd 3.43, 6 Na 3.44
Nd  0.0000  0.0000  0.0000  2 Na 3.43, 6 Nd 3.44
Cd  0.5000  0.5000  0.5000  6 Na 3.34, 6 Cd 3.44



# 7
Material: Na2Nd2Cd15
Method: DFT, GGA-PBE
State: relaxed

Output
ρ: 7.45 Mg/m³
Symmetry: R-3m
Total DFT energy (no corrections): -1.51 eV/atom
Crystal system: trigonal
Fermi-level density of states: 6.44 states/eV/cell

a b c (Å): 7.7161 7.7161 7.7161
angles (deg): 83.09 83.09 83.09
Closest atoms and distances in Å follow each position.
Sites, in units of the cell vectors:
Cd  0.0000  0.5000  0.0000  8 Cd 2.94-3.02, 2 Na 3.12
Cd  0.8364  0.3556  0.3556  8 Cd 2.88-3.16
Cd  0.6948  0.0000  0.3052  8 Cd 2.94-3.16
Cd  0.3556  0.8364  0.3556  8 Cd 2.88-3.16
Cd  0.3052  0.6948  0.0000  8 Cd 2.94-3.16
Cd  0.0000  0.0000  0.5000  8 Cd 2.94-3.02, 2 Na 3.12
Cd  0.6444  0.6444  0.1636  8 Cd 2.88-3.16
Cd  0.3052  0.0000  0.6948  8 Cd 2.94-3.16
Cd  0.5000  0.0000  0.0000  8 Cd 2.94-3.02, 2 Na 3.12
Cd  0.0000  0.6948  0.3052  8 Cd 2.94-3.16
Cd  0.6948  0.3052  0.0000  8 Cd 2.94-3.16
Cd  0.1636  0.6444  0.6444  8 Cd 2.88-3.16
Cd  0.3556  0.3556  0.8364  8 Cd 2.88-3.16
Cd  0.6444  0.1636  0.6444  8 Cd 2.88-3.16
Cd  0.0000  0.3052  0.6948  8 Cd 2.94-3.16
Na  0.9000  0.9000  0.9000  1 Na 2.98, 6 Cd 3.12-3.31
Na  0.1000  0.1000  0.1000  1 Na 2.98, 6 Cd 3.12-3.31
Nd  0.3426  0.3426  0.3426  18 Cd 3.54-3.95, 1 Na 3.61
Nd  0.6574  0.6574  0.6574  18 Cd 3.54-3.95, 1 Na 3.61



# 8
Material: NaNdCd
Method: DFT, GGA-PBE
State: relaxed

Output
ρ: 5.51 Mg/m³
Symmetry: P3m1
Total DFT energy (no corrections): -2.37 eV/atom
Crystal system: trigonal
Fermi-level density of states: 2.47 states/eV/cell

a b c (Å): 3.3438 5.3924 5.3924
angles (deg): 120.00 90.00 90.00
Closest atoms and distances in Å follow each position.
Sites, in units of the cell vectors:
Nd  0.3330  0.3333  0.6667  2 Nd 3.34, 6 Na 3.53-3.54, 6 Cd 3.53-3.54
Cd  0.8310  0.6667  0.3333  3 Na 3.11, 2 Cd 3.34
Na  0.8360  0.0000  0.0000  3 Cd 3.11, 2 Na 3.34



# 9
Material: NaNdCd4
Method: DFT, GGA-PBE
State: relaxed

Output
ρ: 6.64 Mg/m³
Symmetry: P-1
Total DFT energy (no corrections): -1.84 eV/atom
Crystal system: triclinic
Fermi-level density of states: 3.87 states/eV/cell

a b c (Å): 5.0381 5.0399 7.0124
angles (deg): 88.94 89.86 119.98
Closest atoms and distances in Å follow each position.
Sites, in units of the cell vectors:
Cd  0.6686  0.8292  0.7435  3 Cd 2.91
Cd  0.3354  0.1627  0.7436  3 Cd 2.91
Cd  0.6728  0.8361  0.2526  3 Cd 2.91
Cd  0.3396  0.1696  0.2527  3 Cd 2.91
Nd  0.0040  0.4994  0.4982  12 Cd 3.36-3.40, 2 Na 3.51
Na  0.0037  0.4995  0.9982  12 Cd 3.37-3.46, 2 Nd 3.51



# 10
Material: Na2NdCd6
Method: DFT, GGA-PBE
State: relaxed

Output
ρ: 6.30 Mg/m³
Symmetry: C2/m
Total DFT energy (no corrections): -1.61 eV/atom
Crystal system: monoclinic
Fermi-level density of states: 6.56 states/eV/cell

a b c (Å): 3.3489 8.8664 8.8664
angles (deg): 60.00 90.06 90.06
Closest atoms and distances in Å follow each position.
Sites, in units of the cell vectors:
Cd  0.4991  0.6631  0.0000  3 Cd 2.89-2.99
Cd  0.5000  0.6631  0.3369  3 Cd 2.89-2.99
Cd  0.4991  0.0000  0.6631  3 Cd 2.89-2.99
Cd  0.5000  0.3369  0.6631  3 Cd 2.89-2.99
Cd  0.5009  0.3369  0.0000  3 Cd 2.89-2.99
Cd  0.5009  0.0000  0.3369  3 Cd 2.89-2.99
Na  0.0000  0.3333  0.3333  2 Na 3.35, 12 Cd 3.38-3.39
Na  0.0000  0.6667  0.6667  2 Na 3.35, 12 Cd 3.38-3.39
Nd  0.0000  0.0000  0.0000  2 Nd 3.35, 12 Cd 3.42



# 11
Material: NaNdCd
Method: DFT, GGA-PBE
State: relaxed

Output
ρ: 5.21 Mg/m³
Symmetry: Cmcm
Total DFT energy (no corrections): -2.43 eV/atom
Crystal system: orthorhombic
Fermi-level density of states: 4.50 states/eV/cell

a b c (Å): 3.7140 5.5004 8.9173
angles (deg): 90.00 102.02 90.00
Closest atoms and distances in Å follow each position.
Sites, in units of the cell vectors:
Na  0.7455  0.2500  0.4911  2 Cd 3.20, 4 Na 3.32
Na  0.2545  0.7500  0.5089  2 Cd 3.20, 4 Na 3.32
Nd  0.4347  0.2500  0.8695  6 Cd 3.36-3.38, 4 Nd 3.57-3.71
Nd  0.5653  0.7500  0.1305  6 Cd 3.36-3.38, 4 Nd 3.57-3.71
Cd  0.0963  0.2500  0.1927  2 Na 3.20, 6 Nd 3.36-3.38
Cd  0.9037  0.7500  0.8073  2 Na 3.20, 6 Nd 3.36-3.38



# 12
Material: NaNdCd14
Method: DFT, GGA-PBE
State: relaxed

Output
ρ: 7.63 Mg/m³
Symmetry: P4/mmm
Total DFT energy (no corrections): -1.27 eV/atom
Crystal system: tetragonal
Fermi-level density of states: 7.00 states/eV/cell

a b c (Å): 6.6069 6.6069 8.6800
angles (deg): 90.00 90.00 90.00
Closest atoms and distances in Å follow each position.
Sites, in units of the cell vectors:
Cd  0.1289  0.1289  0.7605  10 Cd 3.10-3.36, 1 Na 3.22, 1 Nd 3.28
Cd  0.8750  0.3750  0.0000  12 Cd 3.13-3.30
Cd  0.3750  0.3750  0.0000  12 Cd 3.10-3.30
Cd  0.6211  0.6211  0.2395  10 Cd 3.10-3.36, 1 Na 3.22, 1 Nd 3.28
Cd  0.1289  0.1289  0.2395  10 Cd 3.10-3.36, 1 Na 3.22, 1 Nd 3.28
Cd  0.1289  0.6211  0.2395  10 Cd 3.10-3.36, 1 Na 3.22, 1 Nd 3.28
Cd  0.3750  0.8750  0.0000  12 Cd 3.13-3.30
Cd  0.3750  0.8750  0.5000  8 Cd 3.25, 2 Na 3.30, 2 Nd 3.30
Cd  0.1289  0.6211  0.7605  10 Cd 3.10-3.36, 1 Na 3.22, 1 Nd 3.28
Cd  0.6211  0.6211  0.7605  10 Cd 3.10-3.36, 1 Na 3.22, 1 Nd 3.28
Cd  0.8750  0.8750  0.0000  12 Cd 3.15-3.30
Cd  0.6211  0.1289  0.7605  10 Cd 3.10-3.36, 1 Na 3.22, 1 Nd 3.28
Cd  0.8750  0.3750  0.5000  8 Cd 3.25, 2 Na 3.30, 2 Nd 3.30
Cd  0.6211  0.1289  0.2395  10 Cd 3.10-3.36, 1 Na 3.22, 1 Nd 3.28
Nd  0.8750  0.8750  0.5000  12 Cd 3.28-3.30
Na  0.3750  0.3750  0.5000  12 Cd 3.22-3.30